The following is a PBE-GGA calculation of NiTeCl after structural relaxation, from Alexandria via LeMat-Bulk.

The space group is F-43m (No. 216) and the conventional cell measures 6.3897, 6.3897 and 6.3897 Å, with angles of 90.00, 90.00 and 90.00 degrees. Symmetry generates all atoms from Ni at (0.0000, 0.0000, 0.0000), Te at (0.2500, 0.2500, 0.2500) and Cl at (0.2500, 0.2500, 0.7500).

The formation energy from raw total energies comes out at 0.259 eV per atom. As for the crystal system: cubic. As for the total moment: 0.362 μB per atom. As for the total energy: -3.33 eV per atom.



The following is a PBE-GGA calculation of LaNiSb4 after structural relaxation, from Alexandria via LeMat-Bulk.

The space group is F-43m (No. 216) and the conventional cell measures 8.7109, 8.7109 and 8.7109 Å, with angles of 90.00, 90.00 and 90.00 degrees. Symmetry generates all atoms from La at (0.0000, 0.0000, 0.0000), Ni at (0.2500, 0.2500, 0.7500) and Sb at (0.1239, 0.1239, 0.3761).

The formation energy from raw total energies comes out at 0.147 eV per atom. As for the crystal system: cubic. As for the total moment: 0.003 μB per atom. As for the total energy: -4.39 eV per atom.



The following is a PBE-GGA calculation of Mg3HgH after structural relaxation, from Alexandria via LeMat-Bulk.

The space group is P2/c (No. 13) and the conventional cell measures 3.3851, 6.9667 and 7.7052 Å, with angles of 90.00, 90.48 and 90.00 degrees. Symmetry generates all atoms from Mg at (0.0000, 0.0400, 0.2500), Mg at (0.4998, 0.2742, 0.5342), Hg at (0.0000, 0.4521, 0.2500) and H at (0.5000, 0.1078, 0.7500).

As for the crystal system: monoclinic. As for the total moment: 0.000 μB per atom. As for the total energy: -1.77 eV per atom.



The following is a PBE-GGA calculation of ScBe2 after structural relaxation, from Alexandria via LeMat-Bulk.

The space group is P4/mmm (No. 123) and the conventional cell measures 3.0331, 3.0331 and 4.6211 Å, with angles of 90.00, 90.00 and 90.00 degrees. Symmetry generates all atoms from Sc at (0.0000, 0.0000, 0.0000) and Be at (0.0000, 0.5000, 0.5000).

The value obtained for the formation energy is 0.375 eV per atom. As for the crystal system: tetragonal. As for the total moment: 0.232 μB per atom. As for the total energy: -4.22 eV per atom.



The following is a PBE-GGA calculation of KSr2InIr after structural relaxation, from Alexandria via LeMat-Bulk.

The space group is P4/mmm (No. 123) and the conventional cell measures 5.9183, 5.9183 and 5.3471 Å, with angles of 90.00, 90.00 and 90.00 degrees. Symmetry generates all atoms from K at (0.0000, 0.0000, 0.0000), Sr at (0.0000, 0.5000, 0.5000), In at (0.5000, 0.5000, 0.0000) and Ir at (0.5000, 0.5000, 0.5000).

The value obtained for the formation energy is -0.164 eV per atom. As for the crystal system: tetragonal. As for the total moment: 0.000 μB per atom. As for the total energy: -3.38 eV per atom.



The following is a PBE-GGA calculation of SrSm4In5 after structural relaxation, from Alexandria via LeMat-Bulk.

The space group is P4/mmm (No. 123) and the conventional cell measures 3.8780, 3.8780 and 19.3933 Å, with angles of 90.00, 90.00 and 90.00 degrees. Symmetry generates all atoms from Sr at (0.0000, 0.0000, 0.0000), Sm at (0.0000, 0.0000, 0.2076), Sm at (0.0000, 0.0000, 0.4032), In at (0.5000, 0.5000, 0.1127), In at (0.5000, 0.5000, 0.3066) and In at (0.5000, 0.5000, 0.5000).

The value obtained for the formation energy is -0.471 eV per atom. As for the crystal system: tetragonal. As for the total moment: 0.000 μB per atom. As for the total energy: -3.90 eV per atom.